No. 1
Entry from Alexandria: crystalline LiCr5Se8 at its relaxed geometry (PBE).

Cell lengths 3.662, 9.184, 9.760 Å; angles 105.02, 100.81, 90.00 degrees
Each line ends with the local moment (μB).
Element x y z (fractional)
Cr  0.011  0.010  0.022  2.97
Se  0.181  0.502  0.362  -0.17
Se  0.586  0.163  0.172  -0.13
Se  0.838  0.522  0.675  -0.12
Li  0.385  0.361  0.769  0.00
Se  0.094  0.839  0.188  -0.15
Cr  0.304  0.678  0.609  3.02
Cr  0.712  0.346  0.424  3.00
Se  0.769  0.851  0.538  -0.10
Cr  0.350  0.028  0.699  3.02
Cr  0.666  0.987  0.332  3.01
Se  0.433  0.861  0.867  -0.12
Se  0.248  0.168  0.495  -0.06
Se  0.924  0.183  0.847  -0.10

DFT total energy = -86.34 eV per cell
V = 22.21 A^3/atom
Fermi-level density of states = 0.50 states/eV/cell

---

No. 2
Entry from Alexandria: crystalline LiCrSe3 at its relaxed geometry (PBE).

Cell lengths 7.667, 7.038, 5.550 Å; angles 108.99, 70.63, 126.42 degrees
Element x y z (fractional)
Se  0.858  0.035  0.425
Se  0.620  0.393  0.387
Se  0.444  0.499  0.036
Se  0.429  0.845  0.776
Se  0.049  0.583  0.037
Cr  0.797  0.708  0.115
Cr  0.681  0.720  0.698
Se  0.033  0.929  0.777
Li  0.981  0.508  0.533
Li  0.496  0.920  0.280

DFT total energy = -49.26 eV per cell
V = 22.41 A^3/atom
offset from the most stable computed form = 0.073 eV per atom
Fermi-level density of states = 3.76 states/eV/cell

---

No. 3
Entry from Alexandria: crystalline LiCrSe3 at its relaxed geometry (PBE).

Cell lengths 21.412, 8.307, 8.307 Å; angles 154.72, 155.78, 24.22 degrees
Each line ends with the local moment (μB).
Element x y z (fractional)
Li  0.827  0.033  0.967  0.01
Se  0.939  0.742  0.258  -0.14
Se  0.530  0.301  0.699  -0.14
Se  0.168  0.799  0.201  -0.11
Cr  0.307  0.044  0.956  2.42
Li  0.173  0.967  0.033  0.01
Cr  0.693  0.956  0.044  2.42
Se  0.061  0.258  0.742  -0.14
Se  0.470  0.699  0.301  -0.14
Se  0.832  0.201  0.799  -0.11

DFT total energy = -48.76 eV per cell
V = 22.45 A^3/atom
offset from the most stable computed form = 0.122 eV per atom
Fermi-level density of states = 4.25 states/eV/cell

---

No. 4
Entry from Alexandria: crystalline LiCrSe3 at its relaxed geometry (PBE).

Cell lengths 6.819, 6.153, 6.703 Å; angles 106.97, 63.11, 83.32 degrees
Element x y z (fractional)
Se  0.764  0.560  0.563
Li  0.169  0.996  0.716
Se  0.560  0.104  0.637
Se  0.053  0.734  0.992
Se  0.181  0.139  0.378
Li  0.411  0.436  0.510
Se  0.795  0.288  0.077
Se  0.424  0.722  0.234
Cr  0.873  0.117  0.317
Cr  0.727  0.730  0.306

DFT total energy = -49.01 eV per cell
V = 22.95 A^3/atom
offset from the most stable computed form = 0.098 eV per atom
Fermi-level density of states = 1.18 states/eV/cell